(1)
VASP calculation (PBE) on La2Ga3Au9 after structural relaxation.

Calculated values
Space-group type: C2/c, No. 15
Formation energy in eV per atom: -0.52
Density of states at the Fermi level in states/eV per cell: 11.9

Structure (POSCAR):
```
La2Ga3Au9
1.0
7.1013 -4.0607 0.0000
7.1013 4.0607 0.0000
-4.7577 0.0000 9.8427
La Ga Au
4 6 18
direct
0.0831 0.2525 0.2460 La
0.2525 0.0831 0.7460 La
0.7475 0.9169 0.2540 La
0.9169 0.7475 0.7540 La
0.0000 0.5000 0.0000 Ga
0.1353 0.6897 0.5066 Ga
0.3103 0.8647 0.9934 Ga
0.5000 0.0000 0.5000 Ga
0.6897 0.1353 0.0066 Ga
0.8647 0.3103 0.4934 Ga
0.0322 0.8515 0.0850 Au
0.1485 0.9678 0.4150 Au
0.1978 0.3592 0.5717 Au
0.2038 0.5748 0.2626 Au
0.3057 0.4840 0.9354 Au
0.3592 0.1978 0.0717 Au
0.3624 0.6376 0.7500 Au
0.4252 0.7962 0.2374 Au
0.4840 0.3057 0.4354 Au
0.5160 0.6943 0.5646 Au
0.5748 0.2038 0.7626 Au
0.6376 0.3624 0.2500 Au
0.6408 0.8022 0.9283 Au
0.6943 0.5160 0.0646 Au
0.7962 0.4252 0.7374 Au
0.8022 0.6408 0.4283 Au
0.8515 0.0322 0.5850 Au
0.9678 0.1485 0.9150 Au
```

(2)
VASP calculation (PBE) on La2HfP after structural relaxation.

Calculated values
Space-group type: I-42d, No. 122
Formation energy in eV per atom: -0.20
Density of states at the Fermi level in states/eV per cell: 30.2

Structure (POSCAR):
```
La2HfP
1.0
8.9637 0.0000 0.0000
0.0000 8.9637 0.0000
0.0000 0.0000 5.4823
La Hf P
8 4 4
direct
0.1870 0.7500 0.1250 La
0.2500 0.1870 0.8750 La
0.2500 0.3130 0.3750 La
0.3130 0.7500 0.6250 La
0.6870 0.2500 0.6250 La
0.7500 0.6870 0.3750 La
0.7500 0.8130 0.8750 La
0.8130 0.2500 0.1250 La
0.0000 0.0000 0.5000 Hf
0.0000 0.5000 0.7500 Hf
0.5000 0.0000 0.2500 Hf
0.5000 0.5000 0.0000 Hf
0.0000 0.0000 0.0000 P
0.0000 0.5000 0.2500 P
0.5000 0.0000 0.7500 P
0.5000 0.5000 0.5000 P
```

(3)
VASP calculation (PBE) on CaHfRuO6 after structural relaxation.

Calculated values
Formation energy from raw total energies in eV/atom: -2.173
Space-group type: P-31c, No. 163
Density of states at the Fermi level in states/eV per cell: 9.6

Structure (POSCAR):
```
CaHfRuO6
1.0
5.3150 0.0000 0.0000
-2.6575 4.6030 0.0000
0.0000 0.0000 10.0115
Ca Hf Ru O
2 2 2 12
direct
0.0000 0.0000 0.0000 Ca
0.0000 0.0000 0.5000 Ca
0.3333 0.6667 0.2500 Hf
0.6667 0.3333 0.7500 Hf
0.3333 0.6667 0.7500 Ru
0.6667 0.3333 0.2500 Ru
0.0191 0.3734 0.6416 O
0.0191 0.6457 0.8584 O
0.3543 0.3734 0.8584 O
0.3543 0.9809 0.6416 O
0.3734 0.0191 0.1416 O
0.3734 0.3543 0.3584 O
0.6266 0.6457 0.6416 O
0.6266 0.9809 0.8584 O
0.6457 0.0191 0.3584 O
0.6457 0.6266 0.1416 O
0.9809 0.3543 0.1416 O
0.9809 0.6266 0.3584 O
```

(4)
VASP calculation (PBE) on TbNp3Tl4Se8 after structural relaxation.

Calculated values
Formation energy from raw total energies in eV/atom: -1.020
Space-group type: R-3m, No. 166
Density of states at the Fermi level in states/eV per cell: 27.1

Structure (POSCAR):
```
TbNp3Tl4Se8
1.0
4.2226 2.4379 7.7542
-4.2226 2.4379 7.7542
0.0000 -4.8758 7.7542
Tb Np Tl Se
1 3 4 8
direct
0.0000 0.0000 0.0000 Tb
0.0000 0.5000 0.5000 Np
0.5000 0.0000 0.5000 Np
0.5000 0.5000 0.0000 Np
0.0000 0.0000 0.5000 Tl
0.0000 0.5000 0.0000 Tl
0.5000 0.0000 0.0000 Tl
0.5000 0.5000 0.5000 Tl
0.2342 0.2342 0.7360 Se
0.2342 0.7360 0.2342 Se
0.2640 0.7658 0.7658 Se
0.2660 0.2660 0.2660 Se
0.7340 0.7340 0.7340 Se
0.7360 0.2343 0.2342 Se
0.7657 0.2640 0.7657 Se
0.7657 0.7658 0.2640 Se
```

In order of appearance, size of the total moment = 0.0; 0.0; 2.0; 12.0 μB per formula unit.